No. 1
{
  "formula": "CsNaHfBi2",
  "functional": "PBE",
  "state": "optimized geometry",
  "final_energy_ev_per_cell": -19.67,
  "magnetic_moment_mub_per_cell": 0.000,
  "e_form_kj_per_mol_atoms": 4.2,
  "mass_density_g_cm3": 6.017,
  "lattice": [[-0.7067, -2.3154, 5.1742], [-3.1451, -4.8758, -2.6114], [4.9153, -2.8476, -0.6029]],
  "species": ["Bi", "Hf", "Cs", "Na", "Bi"],
  "frac_coords": [[0.0000, 0.0000, 0.5000], [0.0000, 0.0000, 0.0000], [0.5000, 0.5000, 0.5000], [0.0000, 0.5000, 0.0000], [0.5000, 0.0000, 0.0000]]
}


No. 2
{
  "formula": "Cs2Hf2BiO7",
  "functional": "PBE",
  "state": "optimized geometry",
  "final_energy_ev_per_cell": -87.43,
  "magnetic_moment_mub_per_cell": 0.983,
  "e_form_raw_ev_per_atom": -2.27,
  "mass_density_g_cm3": 7.462,
  "lattice": [[4.1289, -0.0025, 0.0104], [0.0025, 4.1289, 0.0104], [2.0348, 2.0324, 12.3290]],
  "species": ["O", "O", "Cs", "O", "Hf", "Cs", "Hf", "O", "Bi", "O", "O", "O"],
  "frac_coords": [[0.5715, 0.0714, 0.8572], [0.9286, 0.4285, 0.1428], [0.8088, 0.8088, 0.3827], [0.4285, 0.9286, 0.1428], [0.5860, 0.5860, 0.8281], [0.1912, 0.1912, 0.6173], [0.4140, 0.4140, 0.1719], [0.5000, 0.5000, 0.0000], [0.0000, 0.0000, 0.0000], [0.6662, 0.6662, 0.6675], [0.3338, 0.3338, 0.3325], [0.0714, 0.5715, 0.8572]]
}


No. 3
{
  "formula": "CsHf2BiP",
  "functional": "PBE",
  "state": "optimized geometry",
  "final_energy_ev_per_cell": -19.38,
  "magnetic_moment_mub_per_cell": 0.000,
  "e_form_kj_per_mol_atoms": 205.8,
  "mass_density_g_cm3": 7.976,
  "lattice": [[-4.9279, 0.2120, 2.2950], [0.2999, -5.0043, 1.1061], [2.2827, 1.1958, 4.7912]],
  "species": ["Bi", "P", "Hf", "Hf", "Cs"],
  "frac_coords": [[0.5000, 0.5000, 0.5000], [0.0000, 0.5000, 0.0000], [0.0000, 0.0000, 0.5000], [0.5000, 0.0000, 0.0000], [0.0000, 0.0000, 0.0000]]
}


No. 4
{
  "formula": "CsHfBiPb2",
  "functional": "PBE",
  "state": "optimized geometry",
  "final_energy_ev_per_cell": -22.25,
  "magnetic_moment_mub_per_cell": 0.000,
  "e_form_kj_per_mol_atoms": -2.8,
  "mass_density_g_cm3": 8.098,
  "lattice": [[5.7875, 0.0000, 0.0000], [0.0000, 5.7875, 0.0000], [0.0000, 0.0000, 5.7229]],
  "species": ["Pb", "Cs", "Hf", "Pb", "Bi"],
  "frac_coords": [[0.0000, 0.5000, 0.0000], [0.5000, 0.5000, 0.5000], [0.0000, 0.0000, 0.0000], [0.5000, 0.0000, 0.0000], [0.0000, 0.0000, 0.5000]]
}


| no. | V (Å³ per cell) |
| --- | --- |
| 1 | 207.6 |
| 2 | 210.0 |
| 3 | 151.9 |
| 4 | 191.7 |